Compound: PmY3Tm6Sc2
Source: Alexandria
Functional: PBE-GGA
Structure: relaxed

Unit cell a=6.035 b=10.443 c=11.571 alpha=90.00 beta=99.98 gamma=90.00
Space group C2/m (No. 12)
Inequivalent atoms, fractional coordinates:
Pm: 0.000 0.000 0.000 [2 per cell]
Y: 0.000 0.167 0.500 [4 per cell]
Y: 0.000 0.500 0.500 [2 per cell]
Tm: 0.247 0.500 0.245 [4 per cell]
Tm: 0.250 0.168 0.245 [8 per cell]
Sc: 0.000 0.333 0.000 [4 per cell]

Raw total energy = -5.260 eV per atom
ΔE_f = 0.52 eV per formula unit